[1]
PBE-GGA Zr3VI, relaxed; VASP energy = -6.619 eV per atom; ΔE to the lowest computed polymorph = 0.0 kJ/mol of atoms; energy relative to the elements, uncorrected = 0.644 eV/atom; volume = 124.6 Å³ per cell
1.0
4.994 0.000 0.000
0.000 4.994 0.000
0.000 0.000 4.994
Zr V I
3 1 1
Cartesian
0.000 0.000 2.497
0.000 2.497 0.000
2.497 0.000 0.000
0.000 0.000 0.000
2.497 2.497 2.497

=====

[2]
PBE-GGA ZrV3I, relaxed; VASP energy = -6.153 eV per atom; ΔE to the lowest computed polymorph = 0.0 kJ/mol of atoms; energy relative to the elements, uncorrected = 1.338 eV/atom; volume = 105.9 Å³ per cell
1.0
4.732 0.000 0.000
0.000 4.732 0.000
0.000 0.000 4.732
Zr V I
1 3 1
Cartesian
0.000 0.000 0.000
0.000 2.366 2.366
2.366 0.000 2.366
2.366 2.366 0.000
2.366 2.366 2.366

=====

[3]
PBE-GGA ZrV2I, relaxed; VASP energy = -6.441 eV per atom; ΔE to the lowest computed polymorph = 0.0 kJ/mol of atoms; energy relative to the elements, uncorrected = 0.643 eV/atom; volume = 70.8 Å³ per cell
1.0
0.000 3.283 3.283
3.283 0.000 3.283
3.283 3.283 0.000
Zr V I
1 2 1
Cartesian
0.000 0.000 0.000
1.641 1.641 1.641
4.924 4.924 4.924
3.283 3.283 3.283

=====

[4]
PBE-GGA ZrV2I, relaxed; VASP energy = -6.308 eV per atom; ΔE to the lowest computed polymorph = 12.9 kJ/mol of atoms; energy relative to the elements, uncorrected = 0.776 eV/atom; volume = 156.9 Å³ per cell
1.0
-2.024 2.024 9.577
2.024 -2.024 9.577
2.024 2.024 -9.577
Zr V I
2 4 2
Cartesian
0.000 0.000 0.000
0.000 2.024 4.789
1.012 -0.904 7.183
1.121 1.012 2.394
1.012 2.928 -2.394
0.904 1.012 11.972
2.024 0.000 4.789
0.000 0.000 9.577

=====

What is the volume in the third record?
70.8 Å³ per cell

=====

The lowest volume belongs to which entry?
number 3

=====

What is the volume in the fourth record?
156.9 Å³ per cell

=====

Which formula does entry 3 have?
ZrV2I